This record from Alexandria via LeMat-Bulk describes a geometry-optimized Ac4SnRh structure. The functional is PBE.

Computed properties:
total magnetic moment = 0.0 μB/f.u.
energy of formation = -2.81 eV per formula unit
Fermi-level density of states = 12.08 states/eV per cell
density = 8.7 g/cm³
space group = C2/c
final energy = -30.6 eV per formula unit

Unit cell a=8.959 b=8.959 c=6.712 alpha=104.48 beta=104.48 gamma=114.82
Sites, in units of the cell vectors:
Ac: 0.067 0.699 0.922
Ac: 0.209 0.339 0.673
Ac: 0.301 0.933 0.578
Ac: 0.339 0.209 0.173
Ac: 0.661 0.791 0.827
Ac: 0.699 0.067 0.422
Ac: 0.791 0.661 0.327
Ac: 0.933 0.301 0.078
Sn: 0.377 0.623 0.250
Sn: 0.623 0.377 0.750
Rh: 0.004 0.996 0.750
Rh: 0.996 0.004 0.250

=====

This record from Alexandria via LeMat-Bulk describes a geometry-optimized Ac6SnRh4 structure. The functional is PBE.

Computed properties:
total magnetic moment = 0.0 μB/f.u.
energy of formation = -6.95 eV per formula unit
Fermi-level density of states = 13.49 states/eV per cell
density = 9.0 g/cm³
space group = Cmcm
final energy = -65.0 eV per formula unit

Unit cell a=7.548 b=7.548 c=22.105 alpha=90.00 beta=90.00 gamma=146.44
Sites, in units of the cell vectors:
Ac: 0.000 0.000 0.000
Ac: 0.000 0.000 0.500
Ac: 0.161 0.839 0.750
Ac: 0.267 0.733 0.085
Ac: 0.267 0.733 0.415
Ac: 0.460 0.540 0.654
Ac: 0.460 0.540 0.846
Ac: 0.540 0.460 0.154
Ac: 0.540 0.460 0.346
Ac: 0.733 0.267 0.585
Ac: 0.733 0.267 0.915
Ac: 0.839 0.161 0.250
Sn: 0.161 0.839 0.250
Sn: 0.839 0.161 0.750
Rh: 0.100 0.900 0.627
Rh: 0.100 0.900 0.873
Rh: 0.363 0.637 0.542
Rh: 0.363 0.637 0.958
Rh: 0.637 0.363 0.042
Rh: 0.637 0.363 0.458
Rh: 0.900 0.100 0.127
Rh: 0.900 0.100 0.373

=====

This record from Alexandria via LeMat-Bulk describes a geometry-optimized Ac8Sn2Rh3 structure. The functional is PBE.

Computed properties:
total magnetic moment = 0.0 μB/f.u.
energy of formation = -6.61 eV per formula unit
Fermi-level density of states = 8.74 states/eV per cell
density = 7.5 g/cm³
space group = C2/m
final energy = -69.5 eV per formula unit

Unit cell a=9.433 b=9.433 c=7.530 alpha=105.38 beta=105.38 gamma=54.50
Sites, in units of the cell vectors:
Ac: 0.105 0.105 0.406
Ac: 0.135 0.656 0.103
Ac: 0.344 0.865 0.897
Ac: 0.390 0.390 0.564
Ac: 0.610 0.610 0.436
Ac: 0.656 0.135 0.103
Ac: 0.865 0.344 0.897
Ac: 0.895 0.895 0.594
Sn: 0.258 0.258 0.834
Sn: 0.742 0.742 0.166
Rh: 0.000 0.000 0.000
Rh: 0.252 0.748 0.500
Rh: 0.748 0.252 0.500

=====

This record from Alexandria via LeMat-Bulk describes a geometry-optimized Ac2Sn5Rh4 structure. The functional is PBE.

Computed properties:
total magnetic moment = 0.0 μB/f.u.
energy of formation = -6.04 eV per formula unit
Fermi-level density of states = 4.64 states/eV per cell
density = 9.3 g/cm³
space group = Fmmm
final energy = -63.7 eV per formula unit

Unit cell a=9.589 b=8.509 c=6.178 alpha=79.80 beta=60.85 gamma=39.35
Sites, in units of the cell vectors:
Ac: 0.145 0.145 0.855
Ac: 0.855 0.855 0.145
Sn: 0.000 0.000 0.500
Sn: 0.250 0.250 0.250
Sn: 0.500 0.500 0.000
Sn: 0.500 0.500 0.500
Sn: 0.750 0.750 0.750
Rh: 0.222 0.512 0.488
Rh: 0.488 0.778 0.222
Rh: 0.512 0.222 0.778
Rh: 0.778 0.488 0.512

=====

This record from Alexandria via LeMat-Bulk describes a geometry-optimized Ac7Sn2Rh2 structure. The functional is PBE.

Computed properties:
total magnetic moment = 0.0 μB/f.u.
energy of formation = -5.45 eV per formula unit
Fermi-level density of states = 12.73 states/eV per cell
density = 8.7 g/cm³
space group = Imm2
final energy = -56.9 eV per formula unit

Unit cell a=9.835 b=9.835 c=9.835 alpha=152.65 beta=70.40 gamma=116.57
Sites, in units of the cell vectors:
Ac: 0.000 0.000 0.000
Ac: 0.044 0.369 0.675
Ac: 0.165 0.786 0.379
Ac: 0.408 0.786 0.621
Ac: 0.494 0.601 0.893
Ac: 0.694 0.369 0.325
Ac: 0.709 0.601 0.107
Sn: 0.311 0.082 0.229
Sn: 0.853 0.082 0.771
Rh: 0.348 0.348 0.000
Rh: 0.794 0.294 0.500

=====

This record from Alexandria via LeMat-Bulk describes a geometry-optimized AcSn3Rh2 structure. The functional is PBE.

Computed properties:
total magnetic moment = 0.0 μB/f.u.
energy of formation = -2.60 eV per formula unit
Fermi-level density of states = 9.38 states/eV per cell
density = 9.1 g/cm³
space group = R-3m
final energy = -33.4 eV per formula unit

Unit cell a=8.180 b=8.180 c=8.180 alpha=49.31 beta=49.31 gamma=49.31
Sites, in units of the cell vectors:
Ac: 0.220 0.220 0.220
Ac: 0.780 0.780 0.780
Sn: 0.253 0.743 0.743
Sn: 0.257 0.257 0.747
Sn: 0.257 0.747 0.257
Sn: 0.743 0.253 0.743
Sn: 0.743 0.743 0.253
Sn: 0.747 0.257 0.257
Rh: 0.000 0.000 0.000
Rh: 0.000 0.500 0.500
Rh: 0.500 0.000 0.500
Rh: 0.500 0.500 0.000